Record 1
# BaTe2PbI

A relaxed structure of BaTe2PbI (PBE, Alexandria).

- calculated density (g/cm3) = 5.54
- uncorrected formation energy (eV/atom) = -0.665
- size of the total moment (μB per formula unit) = 0.0

abc: 5.9490 5.9490 6.1536
angles: 90.00 90.00 90.00
Last column: nearest neighbours and their distance in Å.
Atoms (fractional coordinates):
Ba 0.0000 0.0000 0.0000  4 I 4.21, 8 Te 4.28
Te 0.0000 0.5000 0.5000  2 Pb 2.97
Te 0.5000 0.0000 0.5000  2 Pb 2.97
Pb 0.5000 0.5000 0.5000  4 Te 2.97, 2 I 3.08
I 0.5000 0.5000 0.0000  2 Pb 3.08



Record 2
# Ba8Te3PbI4

A relaxed structure of Ba8Te3PbI4 (PBE, Alexandria).

- calculated density (g/cm3) = 5.01
- uncorrected formation energy (eV/atom) = -1.461
- size of the total moment (μB per formula unit) = 0.0

abc: 10.0906 10.0906 10.0906
angles: 60.09 60.09 60.09
Last column: nearest neighbours and their distance in Å.
Atoms (fractional coordinates):
Ba 0.2427 0.2427 0.2427  3 Te 3.47, 3 I 3.68
Ba 0.2490 0.7387 0.7387  1 Pb 3.41, 2 Te 3.49, 3 I 3.66-3.73
Ba 0.2613 0.2613 0.7510  1 Pb 3.41, 2 Te 3.49, 3 I 3.66-3.73
Ba 0.2613 0.7510 0.2613  1 Pb 3.41, 2 Te 3.49, 3 I 3.66-3.73
Ba 0.7387 0.2490 0.7387  1 Pb 3.41, 2 Te 3.49, 3 I 3.66-3.73
Ba 0.7387 0.7387 0.2490  1 Pb 3.41, 2 Te 3.49, 3 I 3.66-3.73
Ba 0.7510 0.2613 0.2613  1 Pb 3.41, 2 Te 3.49, 3 I 3.66-3.73
Ba 0.7573 0.7573 0.7573  3 Te 3.47, 3 I 3.68
Te 0.0000 0.0000 0.5000  6 Ba 3.47-3.49
Te 0.0000 0.5000 0.0000  6 Ba 3.47-3.49
Te 0.5000 0.0000 0.0000  6 Ba 3.47-3.49
Pb 0.5000 0.5000 0.5000  6 Ba 3.41
I 0.0000 0.0000 0.0000  6 Ba 3.73
I 0.0000 0.5000 0.5000  6 Ba 3.66-3.68
I 0.5000 0.0000 0.5000  6 Ba 3.66-3.68
I 0.5000 0.5000 0.0000  6 Ba 3.66-3.68



Record 3
# BaTePbI2

A relaxed structure of BaTePbI2 (PBE, Alexandria).

- calculated density (g/cm3) = 4.05
- uncorrected formation energy (eV/atom) = -0.394
- size of the total moment (μB per formula unit) = 0.0

abc: 6.3627 6.3627 7.3467
angles: 90.00 90.00 90.00
Last column: nearest neighbours and their distance in Å.
Atoms (fractional coordinates):
Ba 0.0000 0.0000 0.0000  4 I 3.18
Te 0.0000 0.0000 0.5000  2 Ba 3.67
Pb 0.5000 0.5000 0.5000  4 Te 4.50, 8 I 4.86
I 0.0000 0.5000 0.0000  2 Ba 3.18
I 0.5000 0.0000 0.0000  2 Ba 3.18



Record 4
# Ba6Te2PbI3

A relaxed structure of Ba6Te2PbI3 (PBE, Alexandria).

- calculated density (g/cm3) = 5.01
- uncorrected formation energy (eV/atom) = -1.424
- size of the total moment (μB per formula unit) = 0.0

abc: 8.7819 8.7819 8.7758
angles: 99.58 99.58 119.97
Last column: nearest neighbours and their distance in Å.
Atoms (fractional coordinates):
Ba 0.0745 0.4016 0.2244  1 Pb 3.42, 2 Te 3.49-3.50, 3 I 3.69-3.72
Ba 0.2513 0.2513 0.7735  1 Pb 3.43, 2 Te 3.50, 3 I 3.71-3.75
Ba 0.4016 0.0745 0.2244  1 Pb 3.42, 2 Te 3.49-3.50, 3 I 3.69-3.72
Ba 0.5984 0.9255 0.7756  1 Pb 3.42, 2 Te 3.49-3.50, 3 I 3.69-3.72
Ba 0.7487 0.7487 0.2265  1 Pb 3.43, 2 Te 3.50, 3 I 3.71-3.75
Ba 0.9255 0.5984 0.7756  1 Pb 3.42, 2 Te 3.49-3.50, 3 I 3.69-3.72
Te 0.3339 0.6661 0.0000  6 Ba 3.49-3.50
Te 0.6661 0.3339 0.0000  6 Ba 3.49-3.50
Pb 0.0000 0.0000 0.0000  6 Ba 3.42-3.43
I 0.1698 0.8302 0.5000  6 Ba 3.69-3.72
I 0.5000 0.5000 0.5000  6 Ba 3.69-3.75
I 0.8302 0.1698 0.5000  6 Ba 3.69-3.72



Record 5
# Ba6Te3PbI2

A relaxed structure of Ba6Te3PbI2 (PBE, Alexandria).

- calculated density (g/cm3) = 5.03
- uncorrected formation energy (eV/atom) = -1.482
- size of the total moment (μB per formula unit) = 0.0

abc: 8.7774 8.7774 8.7355
angles: 99.60 99.60 119.84
Last column: nearest neighbours and their distance in Å.
Atoms (fractional coordinates):
Ba 0.0859 0.4011 0.7577  3 Te 3.48-3.60, 1 Pb 3.49, 2 I 3.68-3.70
Ba 0.2269 0.2269 0.2401  1 Pb 3.49, 3 Te 3.55-3.68, 2 I 3.69
Ba 0.4011 0.0859 0.7577  3 Te 3.48-3.60, 1 Pb 3.49, 2 I 3.68-3.70
Ba 0.5989 0.9141 0.2423  3 Te 3.48-3.60, 1 Pb 3.49, 2 I 3.68-3.70
Ba 0.7731 0.7731 0.7599  1 Pb 3.49, 3 Te 3.55-3.68, 2 I 3.69
Ba 0.9141 0.5989 0.2423  3 Te 3.48-3.60, 1 Pb 3.49, 2 I 3.68-3.70
Te 0.1738 0.8262 0.0000  6 Ba 3.49-3.60
Te 0.5000 0.5000 0.0000  6 Ba 3.48-3.68
Te 0.8262 0.1738 0.0000  6 Ba 3.49-3.60
Pb 0.0000 0.0000 0.5000  6 Ba 3.49
I 0.3347 0.6653 0.5000  6 Ba 3.68-3.70
I 0.6653 0.3347 0.5000  6 Ba 3.68-3.70



Record 6
# BaTePbI2

A relaxed structure of BaTePbI2 (PBE, Alexandria).

- calculated density (g/cm3) = 5.15
- uncorrected formation energy (eV/atom) = -0.812
- size of the total moment (μB per formula unit) = 0.0

abc: 6.1019 6.1019 6.2826
angles: 90.00 90.00 90.00
Last column: nearest neighbours and their distance in Å.
Atoms (fractional coordinates):
Ba 0.0000 0.0000 0.0000  4 Te 4.31, 8 I 4.38
Te 0.5000 0.5000 0.0000  2 Pb 3.14
Pb 0.5000 0.5000 0.5000  4 I 3.05, 2 Te 3.14
I 0.0000 0.5000 0.5000  2 Pb 3.05
I 0.5000 0.0000 0.5000  2 Pb 3.05



Record 7
# BaTe2PbI

A relaxed structure of BaTe2PbI (PBE, Alexandria).

- calculated density (g/cm3) = 4.53
- uncorrected formation energy (eV/atom) = -0.103
- size of the total moment (μB per formula unit) = 0.0

abc: 6.4426 6.4426 6.4132
angles: 90.00 90.00 90.00
Last column: nearest neighbours and their distance in Å.
Atoms (fractional coordinates):
Ba 0.0000 0.0000 0.0000  2 I 3.21, 4 Te 3.22
Te 0.0000 0.5000 0.0000  2 Ba 3.22
Te 0.5000 0.0000 0.0000  2 Ba 3.22
Pb 0.5000 0.5000 0.5000  8 Te 4.55, 4 I 4.56
I 0.0000 0.0000 0.5000  2 Ba 3.21



Record 8
# BaZnPbI2

A relaxed structure of BaZnPbI2 (PBE, Alexandria).

- calculated density (g/cm3) = 4.94
- uncorrected formation energy (eV/atom) = -0.385
- size of the total moment (μB per formula unit) = 0.0

abc: 6.3834 6.3834 5.4726
angles: 90.00 90.00 90.00
Last column: nearest neighbours and their distance in Å.
Atoms (fractional coordinates):
Ba 0.0000 0.0000 0.0000  8 I 4.20, 4 Zn 4.51
Zn 0.5000 0.5000 0.0000  2 Pb 2.74
Pb 0.5000 0.5000 0.5000  2 Zn 2.74
I 0.0000 0.5000 0.5000  2 Pb 3.19
I 0.5000 0.0000 0.5000  2 Pb 3.19



Record 9
# BaZnPb2I

A relaxed structure of BaZnPb2I (PBE, Alexandria).

- calculated density (g/cm3) = 6.45
- uncorrected formation energy (eV/atom) = -0.214
- size of the total moment (μB per formula unit) = 0.0

abc: 5.2925 5.2925 6.8335
angles: 90.00 90.00 90.00
Last column: nearest neighbours and their distance in Å.
Atoms (fractional coordinates):
Ba 0.0000 0.0000 0.0000  4 I 3.74
Zn 0.5000 0.5000 0.5000  4 Pb 2.65
Pb 0.0000 0.5000 0.5000  2 Zn 2.65
Pb 0.5000 0.0000 0.5000  2 Zn 2.65
I 0.5000 0.5000 0.0000  2 Zn 3.42, 4 Ba 3.74



Record 10
# Ba5PdI4

A relaxed structure of Ba5PdI4 (PBE, Alexandria).

- calculated density (g/cm3) = 4.95
- uncorrected formation energy (eV/atom) = -1.155
- size of the total moment (μB per formula unit) = 1.8

abc: 8.6205 8.6205 8.6205
angles: 99.61 99.61 131.76
Last column: nearest neighbours and their distance in Å.
Atoms (fractional coordinates):
Ba 0.0000 0.0000 0.0000  2 Pd 3.52, 4 I 3.63
Ba 0.2354 0.4023 0.6377  1 Pd 3.14
Ba 0.4023 0.7646 0.1670  1 Pd 3.14
Ba 0.5977 0.2354 0.8330  1 Pd 3.14
Ba 0.7646 0.5977 0.3623  1 Pd 3.14
Pd 0.5000 0.5000 0.0000  4 Ba 3.14
I 0.0856 0.6857 0.7713  6 Ba 3.57-3.70
I 0.3143 0.0856 0.4000  6 Ba 3.57-3.70
I 0.6857 0.9144 0.6000  6 Ba 3.57-3.70
I 0.9144 0.3143 0.2287  6 Ba 3.57-3.70



Record 11
# Ba5Pd2I2

A relaxed structure of Ba5Pd2I2 (PBE, Alexandria).

- calculated density (g/cm3) = 5.14
- uncorrected formation energy (eV/atom) = -0.831
- size of the total moment (μB per formula unit) = 0.0

abc: 10.2292 10.2292 9.0055
angles: 90.00 90.00 52.24
Last column: nearest neighbours and their distance in Å.
Atoms (fractional coordinates):
Ba 0.0000 0.0000 0.0000  4 Pd 3.48
Ba 0.0435 0.7282 0.6572  3 Pd 3.33-3.41
Ba 0.2282 0.5435 0.1572  3 Pd 3.33-3.41
Ba 0.2718 0.9565 0.6572  3 Pd 3.33-3.41
Ba 0.4565 0.7718 0.1572  3 Pd 3.33-3.41
Ba 0.5000 0.5000 0.5000  4 Pd 3.48
Ba 0.5435 0.2282 0.8428  3 Pd 3.33-3.41
Ba 0.7282 0.0435 0.3428  3 Pd 3.33-3.41
Ba 0.7718 0.4565 0.8428  3 Pd 3.33-3.41
Ba 0.9565 0.2718 0.3428  3 Pd 3.33-3.41
Pd 0.1401 0.8599 0.3603  8 Ba 3.33-3.48, 1 Pd 3.56
Pd 0.3599 0.6401 0.8603  8 Ba 3.33-3.48, 1 Pd 3.56
Pd 0.6401 0.3599 0.1397  8 Ba 3.33-3.48, 1 Pd 3.56
Pd 0.8599 0.1401 0.6397  8 Ba 3.33-3.48, 1 Pd 3.56
I 0.2138 0.2138 0.0000  7 Ba 3.74-3.93
I 0.2862 0.2862 0.5000  7 Ba 3.74-3.93
I 0.7138 0.7138 0.5000  7 Ba 3.74-3.93
I 0.7862 0.7862 0.0000  7 Ba 3.74-3.93



Record 12
# Ba4Pd2I

A relaxed structure of Ba4Pd2I (PBE, Alexandria).

- calculated density (g/cm3) = 4.84
- uncorrected formation energy (eV/atom) = -0.759
- size of the total moment (μB per formula unit) = 0.0

abc: 16.4740 16.4740 16.4740
angles: 16.25 16.25 16.25
Last column: nearest neighbours and their distance in Å.
Atoms (fractional coordinates):
Ba 0.1256 0.1256 0.1256  3 Pd 3.21
Ba 0.2800 0.2800 0.2800  3 Pd 3.22
Ba 0.7200 0.7200 0.7200  3 Pd 3.22
Ba 0.8744 0.8744 0.8744  3 Pd 3.21
Pd 0.4229 0.4229 0.4229  6 Ba 3.21-3.22
Pd 0.5771 0.5771 0.5771  6 Ba 3.21-3.22
I 0.0000 0.0000 0.0000  6 Ba 3.74